w:
# LiNiF

A relaxed structure of LiNiF (PBE with a Hubbard U, Alexandria via LeMat-Bulk).

Properties
Magnetic moment, μB/cell: 0.73

abc: 3.8546 3.8546 2.9948
angles: 90.00 90.00 120.00
Last column: nearest neighbours and their distance in Å.
Space group P-6m2 (No. 187)
Asymmetric unit:
Li  0.0000  0.0000  0.0000 [1 per cell]  6 F 2.68, 6 Ni 2.68, 2 Li 2.99
Ni  0.6667  0.3333  0.5000 [1 per cell]  3 F 2.23
F  0.3333  0.6667  0.5000 [1 per cell]  3 Ni 2.23


x:
# LiNiF

A relaxed structure of LiNiF (PBE with a Hubbard U, Alexandria via LeMat-Bulk).

Properties
Magnetic moment, μB/cell: 3.37

abc: 3.7983 3.7988 9.0293
angles: 90.00 90.09 90.00
Last column: nearest neighbours and their distance in Å.
Space group Cm (No. 8)
Asymmetric unit:
Li  0.0000  0.0000  0.0000 [2 per cell]  5 F 1.93-1.96
Li  0.0015  0.5000  0.2628 [2 per cell]  4 F 1.94
Ni  0.4983  0.0000  0.7215 [2 per cell]  1 F 2.18
Ni  0.4976  0.5000  0.5422 [2 per cell]  8 Ni 2.50-2.69
F  0.9998  0.5000  0.9632 [2 per cell]  4 Li 1.93
F  0.0015  0.0000  0.2175 [2 per cell]  5 Li 1.94-1.96


y:
# LiNiF

A relaxed structure of LiNiF (PBE with a Hubbard U, Alexandria via LeMat-Bulk).

Properties
Magnetic moment, μB/cell: 1.98

abc: 3.6039 3.6039 6.2828
angles: 90.00 90.00 90.00
Last column: nearest neighbours and their distance in Å.
Space group P4/nmm (No. 129, origin choice 2)
Asymmetric unit:
Li  0.2500  0.2500  0.0661 [2 per cell]  4 F 1.85
Ni  0.2500  0.2500  0.5578 [2 per cell]  4 Ni 2.65
F  0.2500  0.7500  0.0000 [2 per cell]  4 Li 1.85


x is preferred energetically. Next in line: 255 meV per atom higher.


w:
# LiNiF

A relaxed structure of LiNiF (PBE with a Hubbard U, Alexandria via LeMat-Bulk).

Properties
Magnetic moment, μB/cell: 1.73

abc: 3.6479 3.6479 7.2235
angles: 90.00 90.00 120.00
Last column: nearest neighbours and their distance in Å.
Space group P6_3/mmc (No. 194)
Asymmetric unit:
Li  0.0000  0.0000  0.0000 [2 per cell]  6 Ni 2.77, 6 F 2.77
Ni  0.3333  0.6667  0.2500 [2 per cell]  3 F 2.11
F  0.3333  0.6667  0.7500 [2 per cell]  3 Ni 2.11


x:
# LiNiF

A relaxed structure of LiNiF (PBE with a Hubbard U, Alexandria via LeMat-Bulk).

Properties
Magnetic moment, μB/cell: 2.07

abc: 2.9744 2.9744 10.5221
angles: 90.00 90.00 120.00
Last column: nearest neighbours and their distance in Å.
Space group P6_3/mmc (No. 194)
Asymmetric unit:
Li  0.3333  0.6667  0.2500 [2 per cell]  3 F 1.72
Ni  0.0000  0.0000  0.0000 [2 per cell]  2 F 2.63
F  0.0000  0.0000  0.2500 [2 per cell]  3 Li 1.72


x is preferred energetically. Next in line: 1030 meV per atom higher.


w:
# LiNiF

A relaxed structure of LiNiF (PBE with a Hubbard U, Alexandria via LeMat-Bulk).

Properties
Magnetic moment, μB/cell: 2.08

abc: 2.9555 3.8446 6.2832
angles: 90.00 90.23 90.00
Last column: nearest neighbours and their distance in Å.
Space group P2_1/m (No. 11)
Asymmetric unit:
Li  0.2485  0.2500  0.4050 [2 per cell]  4 F 1.90-1.92
Ni  0.2505  0.7500  0.0557 [2 per cell]  1 F 2.19
F  0.2495  0.7500  0.4046 [2 per cell]  4 Li 1.90-1.92


x:
# LiNiF

A relaxed structure of LiNiF (PBE with a Hubbard U, Alexandria via LeMat-Bulk).

Properties
Magnetic moment, μB/cell: 6.12

abc: 2.7897 2.7897 29.1460
angles: 90.00 90.00 120.00
Last column: nearest neighbours and their distance in Å.
Space group R3m (No. 160, hexagonal axes)
Asymmetric unit:
Li  0.0000  0.0000  0.0000 [3 per cell]  3 F 1.83
Li  0.0000  0.0000  0.4163 [3 per cell]  3 F 1.85
Ni  0.0000  0.0000  0.2338 [3 per cell]  1 F 2.03
Ni  0.0000  0.0000  0.8339 [3 per cell]  9 Ni 2.52-2.79
F  0.0000  0.0000  0.3034 [3 per cell]  3 Li 1.83, 1 Ni 2.03
F  0.0000  0.0000  0.7184 [3 per cell]  3 Li 1.85


y:
# LiNiF

A relaxed structure of LiNiF (PBE with a Hubbard U, Alexandria via LeMat-Bulk).

Properties
Magnetic moment, μB/cell: 2.73

abc: 2.7986 2.7986 10.8012
angles: 90.00 90.00 120.00
Last column: nearest neighbours and their distance in Å.
Space group P6_3mc (No. 186)
Asymmetric unit:
Li  0.0000  0.0000  0.0000 [2 per cell]  3 F 1.79
Ni  0.3333  0.6667  0.2289 [2 per cell]  3 F 2.70, 6 Ni 2.80, 3 Li 2.95
F  0.3333  0.6667  0.9295 [2 per cell]  3 Li 1.79


w is preferred energetically. Next in line: 10 meV per atom higher.


w:
# LiNiF

A relaxed structure of LiNiF (PBE with a Hubbard U, Alexandria via LeMat-Bulk).

Properties
Magnetic moment, μB/cell: 3.15

abc: 2.7864 2.7864 10.1624
angles: 90.00 90.00 120.00
Last column: nearest neighbours and their distance in Å.
Space group P-6m2 (No. 187)
Asymmetric unit:
Li  0.0000  0.0000  0.0000 [1 per cell]  6 Ni 2.70, 6 Li 2.79
Li  0.0000  0.0000  0.5000 [1 per cell]  6 F 2.03
Ni  0.3333  0.6667  0.2138 [2 per cell]  3 F 2.32
F  0.6667  0.3333  0.3777 [2 per cell]  3 Li 2.03


x:
# LiNiF

A relaxed structure of LiNiF (PBE with a Hubbard U, Alexandria via LeMat-Bulk).

Properties
Magnetic moment, μB/cell: 2.41

abc: 5.2706 5.2706 5.2706
angles: 90.00 90.00 90.00
Last column: nearest neighbours and their distance in Å.
Space group F-43m (No. 216)
Asymmetric unit:
Li  0.0000  0.0000  0.0000 [4 per cell]  4 F 2.28
Ni  0.0000  0.0000  0.5000 [4 per cell]  4 F 2.28
F  0.2500  0.2500  0.2500 [4 per cell]  4 Li 2.28, 4 Ni 2.28


w is preferred energetically. Next in line: 722 meV per atom higher.


w:
# Li3NiF6

A relaxed structure of Li3NiF6 (PBE with a Hubbard U, Alexandria via LeMat-Bulk).

Properties
Magnetic moment, μB/cell: 4.00

abc: 6.9623 7.2544 9.4938
angles: 90.00 90.00 90.00
Last column: nearest neighbours and their distance in Å.
Space group Fmmm (No. 69)
Asymmetric unit:
Li  0.0000  0.0000  0.0000 [4 per cell]  2 F 1.70
Li  0.2500  0.2500  0.2500 [8 per cell]  4 F 2.15
Ni  0.0000  0.0000  0.5000 [4 per cell]  6 F 1.84-1.92
F  0.0000  0.2347  0.0000 [8 per cell]  1 Li 1.70
F  0.1881  0.0000  0.3635 [16 per cell]  1 Ni 1.84


x:
# Li3NiF6

A relaxed structure of Li3NiF6 (PBE with a Hubbard U, Alexandria via LeMat-Bulk).

Properties
Magnetic moment, μB/cell: 4.00

abc: 7.6199 7.6199 7.6199
angles: 90.00 90.00 90.00
Last column: nearest neighbours and their distance in Å.
Space group Fm-3m (No. 225)
Asymmetric unit:
Li  0.0000  0.0000  0.0000 [4 per cell]  6 F 1.93
Li  0.2500  0.2500  0.2500 [8 per cell]  12 F 2.69
Ni  0.0000  0.0000  0.5000 [4 per cell]  6 F 1.88
F  0.0000  0.0000  0.2535 [24 per cell]  1 Ni 1.88, 1 Li 1.93


y:
# Li3NiF6

A relaxed structure of Li3NiF6 (PBE with a Hubbard U, Alexandria via LeMat-Bulk).

Properties
Magnetic moment, μB/cell: 17.72

abc: 8.5197 8.5197 10.0828
angles: 90.00 90.00 120.00
Last column: nearest neighbours and their distance in Å.
Space group R-3 (No. 148, hexagonal axes)
Asymmetric unit:
Li  0.0416  0.2677  0.2095 [18 per cell]  5 F 1.97-2.18
Ni  0.0000  0.0000  0.0000 [3 per cell]  6 F 1.91
Ni  0.0000  0.0000  0.5000 [3 per cell]  6 F 1.91
F  0.0194  0.1857  0.8836 [18 per cell]  1 Ni 1.91, 2 Li 2.00-2.05
F  0.0265  0.1999  0.3976 [18 per cell]  1 Ni 1.91, 2 Li 1.97-2.12


y is preferred energetically. Next in line: 163 meV per atom higher.


w:
# Li2Ni2F7

A relaxed structure of Li2Ni2F7 (PBE with a Hubbard U, Alexandria via LeMat-Bulk).

Properties
Magnetic moment, μB/cell: 10.00

abc: 6.3616 8.7024 5.3028
angles: 90.00 99.18 90.00
Last column: nearest neighbours and their distance in Å.
Space group C2/m (No. 12)
Asymmetric unit:
Li  0.0000  0.1987  0.0000 [4 per cell]  2 F 1.95
Ni  0.2332  0.0000  0.6128 [4 per cell]  5 F 1.86-2.07
F  0.0000  0.5000  0.5000 [2 per cell]  2 Ni 1.89
F  0.0628  0.0000  0.2736 [4 per cell]  2 Ni 1.95-2.07
F  0.2259  0.3194  0.1997 [8 per cell]  1 Ni 1.86, 1 Li 1.95


x:
# Li2Ni2F7

A relaxed structure of Li2Ni2F7 (PBE with a Hubbard U, Alexandria via LeMat-Bulk).

Properties
Magnetic moment, μB/cell: 9.85

abc: 5.8033 9.0248 5.4028
angles: 90.00 106.42 90.00
Last column: nearest neighbours and their distance in Å.
Space group C2/m (No. 12)
Asymmetric unit:
Li  0.2478  0.0000  0.1308 [4 per cell]  3 F 1.80-1.85
Ni  0.0000  0.1792  0.5000 [4 per cell]  6 F 2.00-2.08
F  0.0000  0.5000  0.0000 [2 per cell]  2 Li 1.80
F  0.1282  0.0000  0.7402 [4 per cell]  1 Li 2.03, 2 Ni 2.08, 1 F 2.22
F  0.2480  0.3229  0.6968 [8 per cell]  1 Li 1.85, 2 Ni 2.00-2.04


x is preferred energetically. Next in line: 11 meV per atom higher.